Compound: BaCO3
Source: the Alexandria database
Functional: meta-GGA SCAN
Structure: PBEsol geometry

Summary:
Uncorrected energy ... -16.08 eV/atom
Magnetic moment ... 0.00 Bohr magnetons per cell
Formation energy from raw total energies ... -233 kJ per mole of atoms
Space group ... C2/m, No. 12

Unit cell a=4.529 b=4.529 c=8.441 alpha=101.41 beta=99.54 gamma=108.81
Element x y z (fractional)
Ba: 0.500 0.000 0.500
Ba: 0.500 0.500 0.000
C: 0.957 0.311 0.268
C: 0.043 0.689 0.732
O: 0.662 0.111 0.199
O: 0.088 0.537 0.199
O: 0.338 0.889 0.801
O: 0.113 0.291 0.404
O: 0.912 0.463 0.801
O: 0.887 0.709 0.596

---

Compound: BaCO3
Source: the Alexandria database
Functional: meta-GGA SCAN
Structure: PBEsol geometry

Summary:
Uncorrected energy ... -16.10 eV/atom
Magnetic moment ... 0.00 Bohr magnetons per cell
Formation energy from raw total energies ... -234 kJ per mole of atoms
Space group ... P2_1/m, No. 11

Unit cell a=4.543 b=5.280 c=6.878 alpha=90.00 beta=108.96 gamma=90.00
Element x y z (fractional)
Ba: 0.329 0.250 0.229
Ba: 0.671 0.750 0.771
O: 0.571 0.750 0.363
O: 0.187 0.037 0.825
O: 0.813 0.537 0.175
O: 0.187 0.463 0.825
O: 0.813 0.963 0.175
O: 0.429 0.250 0.637
C: 0.738 0.750 0.241
C: 0.262 0.250 0.759

---

Compound: BaCO3
Source: the Alexandria database
Functional: meta-GGA SCAN
Structure: PBEsol geometry

Summary:
Uncorrected energy ... -16.04 eV/atom
Magnetic moment ... 0.00 Bohr magnetons per cell
Formation energy from raw total energies ... -229 kJ per mole of atoms
Space group ... R32, No. 155

Unit cell a=4.588 b=4.588 c=4.588 alpha=71.70 beta=71.70 gamma=71.70
Element x y z (fractional)
C: 0.000 0.000 0.000
O: 0.241 0.000 0.759
O: 0.000 0.759 0.241
O: 0.759 0.241 0.000
Ba: 0.500 0.500 0.500

---

Compound: BaCO3
Source: the Alexandria database
Functional: meta-GGA SCAN
Structure: PBEsol geometry

Summary:
Uncorrected energy ... -16.04 eV/atom
Magnetic moment ... 0.01 Bohr magnetons per cell
Formation energy from raw total energies ... -228 kJ per mole of atoms
Space group ... R-3c, No. 167

Unit cell a=5.411 b=5.411 c=7.379 alpha=68.49 beta=68.49 gamma=60.00
Element x y z (fractional)
O: 0.750 0.510 0.750
O: 0.250 0.490 0.250
O: 0.510 0.990 0.750
O: 0.010 0.250 0.250
O: 0.990 0.750 0.750
O: 0.490 0.010 0.250
C: 0.250 0.250 0.250
C: 0.750 0.750 0.750
Ba: 0.500 0.500 0.500
Ba: 0.000 0.000 0.000

---

Compound: BaCO3
Source: the Alexandria database
Functional: meta-GGA SCAN
Structure: PBEsol geometry

Summary:
Uncorrected energy ... -16.11 eV/atom
Magnetic moment ... 0.00 Bohr magnetons per cell
Formation energy from raw total energies ... -236 kJ per mole of atoms
Space group ... Pnma, No. 62

Unit cell a=5.311 b=6.384 c=8.927 alpha=90.00 beta=90.00 gamma=90.00
Element x y z (fractional)
Ba: 0.250 0.754 0.416
Ba: 0.750 0.746 0.916
Ba: 0.250 0.254 0.084
Ba: 0.750 0.246 0.584
O: 0.538 0.582 0.183
O: 0.462 0.418 0.817
O: 0.962 0.582 0.183
O: 0.750 0.588 0.401
O: 0.038 0.918 0.683
O: 0.538 0.082 0.317
O: 0.750 0.088 0.099
O: 0.038 0.418 0.817
O: 0.962 0.082 0.317
O: 0.250 0.412 0.599
O: 0.250 0.912 0.901
O: 0.462 0.918 0.683
C: 0.750 0.581 0.256
C: 0.750 0.081 0.244
C: 0.250 0.419 0.744
C: 0.250 0.919 0.756

---

Compound: Ba2TeCO
Source: the Alexandria database
Functional: meta-GGA SCAN
Structure: PBEsol geometry

Summary:
Uncorrected energy ... -26.90 eV/atom
Magnetic moment ... 2.26 Bohr magnetons per cell
Formation energy from raw total energies ... -35 kJ per mole of atoms
Space group ... P4/mmm, No. 123

Unit cell a=4.415 b=5.457 c=5.457 alpha=90.00 beta=90.00 gamma=90.00
Site moments in Bohr magnetons follow the coordinates.
Element x y z (fractional)
Ba: 0.000 0.500 0.000  0.01
Ba: 0.000 0.000 0.500  0.01
Te: 0.500 0.000 0.000  0.12
C: 0.500 0.500 0.500  0.93
O: 0.000 0.000 0.000  0.01